Density functional theory data (PBE) for an optimized crystal structure of RbPdPt2.

Values from the calculation:
For the density, the calculation gives 12.27 g/cm³. The formation energy comes out at 0.76 eV per atom. Its density of states at the Fermi level is 6.21 states/eV/f.u. Its energy relative to the lowest polymorph listed for this composition is 180 kJ/mol of formula units. Its symmetry is Fm-3m.

Lattice parameters (Å, degrees): 4.812 4.812 4.812 60.00 60.00 60.00
Positions (direct):
Rb: 0.000 0.000 0.000
Pd: 0.500 0.500 0.500
Pt: 0.250 0.250 0.250
Pt: 0.750 0.750 0.750